# 1
Computed, not measured: a relaxed LaPm12Sm7 crystal at the GGA-PBE level of DFT.

Computed properties:
Its density of states at the Fermi level is 34.657 states/eV/cell. For the total magnetization, the calculation gives 0.00 Bohr magnetons per cell. The relative energy among the computed polymorphs is 0 kJ/mol of formula units. The value obtained for the formation enthalpy at 0 K is 171 kJ/mol of formula units. The crystal system is trigonal.

Cell lengths 8.9443, 8.9443, 8.9443 Å; angles 98.88, 98.88, 98.88 degrees
Last column: nearest neighbours and their distance in Å.
Sites, in units of the cell vectors:
Sm: 0.6574 0.0953 0.0955  1 Sm 3.14, 1 La 3.50
Sm: 0.0953 0.0955 0.6574  1 Sm 3.14, 1 La 3.50
Sm: 0.9047 0.9045 0.3426  1 Sm 3.14, 1 La 3.50
Sm: 0.9045 0.3426 0.9047  1 Sm 3.14, 1 La 3.50
Sm: 0.0955 0.6574 0.0953  1 Sm 3.14, 1 La 3.50
Sm: 0.3426 0.9047 0.9045  1 Sm 3.14, 1 La 3.50
Sm: 0.5000 0.5000 0.5000  12 Pm 3.54-3.67
Pm: 0.5000 0.2394 0.7606  6 Pm 3.46-3.62, 5 Sm 3.54-3.61
Pm: 0.3559 0.3558 0.0884  6 Pm 3.46-3.64, 3 Sm 3.67-3.83
Pm: 0.2394 0.7606 0.5000  6 Pm 3.46-3.62, 5 Sm 3.54-3.61
Pm: 0.9116 0.6441 0.6442  6 Pm 3.46-3.64, 3 Sm 3.67-3.83
Pm: 0.6441 0.6442 0.9116  6 Pm 3.46-3.64, 3 Sm 3.67-3.83
Pm: 0.7606 0.5000 0.2394  6 Pm 3.46-3.62, 5 Sm 3.54-3.61
Pm: 0.6442 0.9116 0.6441  6 Pm 3.46-3.64, 3 Sm 3.67-3.83
Pm: 0.3558 0.0884 0.3559  6 Pm 3.46-3.64, 3 Sm 3.67-3.83
Pm: 0.2394 0.5000 0.7606  6 Pm 3.46-3.62, 5 Sm 3.54-3.61
Pm: 0.5000 0.7606 0.2394  6 Pm 3.46-3.62, 5 Sm 3.54-3.61
Pm: 0.0884 0.3559 0.3558  6 Pm 3.46-3.64, 3 Sm 3.67-3.83
Pm: 0.7606 0.2394 0.5000  6 Pm 3.46-3.62, 5 Sm 3.54-3.61
La: 0.0000 0.0000 0.0000  6 Sm 3.50

***

# 2
Computed, not measured: a relaxed La3Pm4Sm8 crystal at the GGA-PBE level of DFT.

Computed properties:
Its density of states at the Fermi level is 28.467 states/eV/cell. For the total magnetization, the calculation gives 0.00 Bohr magnetons per cell. The value obtained for the formation enthalpy at 0 K is 485 kJ/mol of formula units. The crystal system is monoclinic.

Cell lengths 6.9429, 9.4506, 9.4506 Å; angles 87.14, 111.65, 111.65 degrees
Last column: nearest neighbours and their distance in Å.
Sites, in units of the cell vectors:
Pm: 0.5000 0.0000 0.0000  6 Sm 3.36-3.57, 2 Pm 3.47
Pm: 0.0000 0.0000 0.0000  2 Pm 3.47, 4 Sm 3.62-3.66
Pm: 0.0000 0.0000 0.5000  4 Sm 3.26-3.42, 2 La 3.47
Pm: 0.0000 0.5000 0.0000  4 Sm 3.26-3.42, 2 La 3.47
Sm: 0.0000 0.6449 0.3551  4 La 3.68-3.95, 2 Pm 3.69, 7 Sm 3.69-3.78
Sm: 0.5000 0.7420 0.2580  3 La 3.15-3.43, 3 Pm 3.36-3.42
Sm: 0.4660 0.7312 0.7312  3 La 3.27-3.29, 1 Sm 3.28, 1 Pm 3.57
Sm: 0.5000 0.2580 0.7420  3 La 3.15-3.43, 3 Pm 3.36-3.42
Sm: 0.0000 0.3551 0.6449  4 La 3.68-3.95, 2 Pm 3.69, 7 Sm 3.69-3.78
Sm: 0.0027 0.2647 0.2647  4 Pm 3.26-3.62, 1 Sm 3.28, 1 La 3.31
Sm: 0.9973 0.7353 0.7353  4 Pm 3.26-3.62, 1 Sm 3.28, 1 La 3.31
Sm: 0.5340 0.2688 0.2688  3 La 3.27-3.29, 1 Sm 3.28, 1 Pm 3.57
La: 0.5000 0.0000 0.5000  4 Sm 3.27-3.43, 2 Pm 3.47
La: 0.5000 0.5000 0.0000  4 Sm 3.27-3.43, 2 Pm 3.47
La: 0.5000 0.5000 0.5000  6 Sm 3.15-3.31

***

# 3
Computed, not measured: a relaxed LaPm6Sm8 crystal at the GGA-PBE level of DFT.

Computed properties:
Its density of states at the Fermi level is 21.532 states/eV/cell. For the total magnetization, the calculation gives 0.00 Bohr magnetons per cell. The relative energy among the computed polymorphs is 0 kJ/mol of formula units. The value obtained for the formation enthalpy at 0 K is 207 kJ/mol of formula units. The crystal system is trigonal.

Cell lengths 8.3658, 8.3658, 8.3658 Å; angles 72.09, 72.09, 72.09 degrees
Last column: nearest neighbours and their distance in Å.
Sites, in units of the cell vectors:
La: 0.0000 0.0000 0.0000  6 Sm 3.06
Sm: 0.0510 0.8693 0.3693  1 La 3.06, 1 Sm 3.31
Sm: 0.9490 0.1307 0.6307  1 La 3.06, 1 Sm 3.31
Sm: 0.2404 0.2404 0.2404  6 Sm 3.48-3.64, 6 Pm 3.78-3.81
Sm: 0.3693 0.0510 0.8693  1 La 3.06, 1 Sm 3.31
Sm: 0.7596 0.7596 0.7596  6 Sm 3.48-3.64, 6 Pm 3.78-3.81
Sm: 0.1307 0.6307 0.9490  1 La 3.06, 1 Sm 3.31
Sm: 0.6307 0.9490 0.1307  1 La 3.06, 1 Sm 3.31
Sm: 0.8693 0.3693 0.0510  1 La 3.06, 1 Sm 3.31
Pm: 0.6156 0.1735 0.4402  7 Sm 3.50-3.81, 3 Pm 3.69-3.80
Pm: 0.3844 0.8265 0.5598  7 Sm 3.50-3.81, 3 Pm 3.69-3.80
Pm: 0.4402 0.6156 0.1735  7 Sm 3.50-3.81, 3 Pm 3.69-3.80
Pm: 0.5598 0.3844 0.8265  7 Sm 3.50-3.81, 3 Pm 3.69-3.80
Pm: 0.8265 0.5598 0.3844  7 Sm 3.50-3.81, 3 Pm 3.69-3.80
Pm: 0.1735 0.4402 0.6156  7 Sm 3.50-3.81, 3 Pm 3.69-3.80

***

# 4
Computed, not measured: a relaxed La5Pm3Sm2 crystal at the GGA-PBE level of DFT.

Computed properties:
Its density of states at the Fermi level is 35.255 states/eV/cell. For the total magnetization, the calculation gives 0.00 Bohr magnetons per cell. The value obtained for the formation enthalpy at 0 K is 143 kJ/mol of formula units. The crystal system is monoclinic.

Cell lengths 10.2855, 10.2864, 11.4400 Å; angles 129.52, 129.51, 65.46 degrees
Last column: nearest neighbours and their distance in Å.
Sites, in units of the cell vectors:
Pm: 0.9714 0.2229 0.7505  1 Sm 3.32, 5 La 3.46-3.61, 1 Pm 3.63
Pm: 0.7681 0.0181 0.0362  1 La 3.08, 2 Sm 3.42
Pm: 0.2319 0.9819 0.9638  1 La 3.08, 2 Sm 3.42
Pm: 0.2791 0.5276 0.7505  1 Sm 3.32, 5 La 3.46-3.61, 1 Pm 3.63
Pm: 0.7209 0.4724 0.2495  1 Sm 3.32, 5 La 3.46-3.61, 1 Pm 3.63
Pm: 0.0286 0.7771 0.2495  1 Sm 3.32, 5 La 3.46-3.61, 1 Pm 3.63
La: 0.7266 0.4766 0.9532  1 La 3.11, 2 Pm 3.46
La: 0.6258 0.8764 0.2453  3 Pm 3.49-3.88, 3 La 3.54-3.61, 2 Sm 3.83-3.90
La: 0.1194 0.3689 0.2453  3 Pm 3.49-3.88, 3 La 3.54-3.61, 2 Sm 3.83-3.90
La: 0.0264 0.7764 0.5528  1 Pm 3.08
La: 0.8806 0.6311 0.7547  3 Pm 3.49-3.88, 3 La 3.54-3.61, 2 Sm 3.83-3.90
La: 0.5190 0.2690 0.5380  1 La 3.11, 2 Sm 3.46
La: 0.9736 0.2236 0.4472  1 Pm 3.08
La: 0.2734 0.5234 0.0468  1 La 3.11, 2 Pm 3.46
La: 0.3742 0.1236 0.7547  3 Pm 3.49-3.88, 3 La 3.54-3.61, 2 Sm 3.83-3.90
La: 0.4810 0.7310 0.4620  1 La 3.11, 2 Sm 3.46
Sm: 0.7813 0.0327 0.7537  3 Pm 3.32-3.60, 4 La 3.46-3.60
Sm: 0.2187 0.9673 0.2463  3 Pm 3.32-3.60, 4 La 3.46-3.60
Sm: 0.4723 0.7209 0.7537  3 Pm 3.32-3.60, 4 La 3.46-3.60
Sm: 0.5277 0.2791 0.2463  3 Pm 3.32-3.60, 4 La 3.46-3.60

***

# 5
Computed, not measured: a relaxed La3Pm4Sm2 crystal at the GGA-PBE level of DFT.

Computed properties:
Its density of states at the Fermi level is 15.433 states/eV/cell. For the total magnetization, the calculation gives 0.00 Bohr magnetons per cell. The relative energy among the computed polymorphs is 40 kJ/mol of formula units. The value obtained for the formation enthalpy at 0 K is 57 kJ/mol of formula units. The crystal system is trigonal.

Cell lengths 3.6656, 3.6656, 27.5194 Å; angles 90.00, 90.00, 120.00 degrees
Last column: nearest neighbours and their distance in Å.
Sites, in units of the cell vectors:
Pm: 0.0000 0.0000 0.7658  3 Sm 3.58, 6 Pm 3.67, 3 La 3.75
Pm: 0.6667 0.3333 0.4355  9 Pm 3.60-3.67, 3 La 3.79
Pm: 0.0000 0.0000 0.5413  9 Pm 3.60-3.67, 3 La 3.74
Pm: 0.6667 0.3333 0.2140  1 Sm 3.39, 3 La 3.63, 6 Pm 3.67
Sm: 0.6667 0.3333 0.8708  3 Pm 3.58, 6 Sm 3.67, 3 La 3.78
Sm: 0.6667 0.3333 0.0908  1 Pm 3.39, 3 La 3.61, 6 Sm 3.67
La: 0.6667 0.3333 0.6534  6 La 3.67, 6 Pm 3.74-3.75
La: 0.0000 0.0000 0.3212  6 Pm 3.63-3.79, 6 La 3.67
La: 0.0000 0.0000 0.9844  6 Sm 3.61-3.78, 6 La 3.67

***

# 6
Computed, not measured: a relaxed LaPm2Sm crystal at the GGA-PBE level of DFT.

Computed properties:
Its density of states at the Fermi level is 5.584 states/eV/cell. For the total magnetization, the calculation gives 0.00 Bohr magnetons per cell. The relative energy among the computed polymorphs is 10 kJ/mol of formula units. The value obtained for the formation enthalpy at 0 K is 16 kJ/mol of formula units. The crystal system is orthorhombic.

Cell lengths 3.5972, 5.7295, 7.0303 Å; angles 90.00, 104.82, 90.00 degrees
Last column: nearest neighbours and their distance in Å.
Sites, in units of the cell vectors:
Pm: 0.0608 0.5000 0.1216  4 Pm 3.33-3.60, 1 La 3.47, 4 Sm 3.71
Pm: 0.1859 0.0000 0.3718  4 Pm 3.33-3.60, 3 Sm 3.57-3.70
Sm: 0.4482 0.0000 0.8963  7 Pm 3.57-3.71, 2 Sm 3.60, 4 La 3.90
La: 0.8051 0.5000 0.6103  7 Pm 3.47-3.78, 2 La 3.60

***

# 7
Computed, not measured: a relaxed La2Pm2Sm15 crystal at the GGA-PBE level of DFT.

Computed properties:
Its density of states at the Fermi level is 32.736 states/eV/cell. For the total magnetization, the calculation gives 0.00 Bohr magnetons per cell. The value obtained for the formation enthalpy at 0 K is 457 kJ/mol of formula units. The crystal system is trigonal.

Cell lengths 8.9030, 8.9030, 8.9030 Å; angles 79.83, 79.83, 79.83 degrees
Last column: nearest neighbours and their distance in Å.
Sites, in units of the cell vectors:
Sm: 0.0000 0.2970 0.7030  6 Sm 3.38-3.46, 2 Pm 3.77
Sm: 0.0000 0.7030 0.2970  6 Sm 3.38-3.46, 2 Pm 3.77
Sm: 0.3711 0.3711 0.8484  6 Sm 3.33-3.42
Sm: 0.2970 0.7030 0.0000  6 Sm 3.38-3.46, 2 Pm 3.77
Sm: 0.5000 0.0000 0.0000  8 Sm 3.42-3.46, 2 Pm 3.56
Sm: 0.7030 0.2970 0.0000  6 Sm 3.38-3.46, 2 Pm 3.77
Sm: 0.3711 0.8484 0.3711  6 Sm 3.33-3.42
Sm: 0.8484 0.3711 0.3711  6 Sm 3.33-3.42
Sm: 0.1516 0.6289 0.6289  6 Sm 3.33-3.42
Sm: 0.6289 0.1516 0.6289  6 Sm 3.33-3.42
Sm: 0.0000 0.0000 0.5000  8 Sm 3.42-3.46, 2 Pm 3.56
Sm: 0.0000 0.5000 0.0000  8 Sm 3.42-3.46, 2 Pm 3.56
Sm: 0.6289 0.6289 0.1516  6 Sm 3.33-3.42
Sm: 0.2970 0.0000 0.7030  6 Sm 3.38-3.46, 2 Pm 3.77
Sm: 0.7030 0.0000 0.2970  6 Sm 3.38-3.46, 2 Pm 3.77
Pm: 0.9084 0.9084 0.9084  1 Pm 3.29, 3 Sm 3.56
Pm: 0.0916 0.0916 0.0916  1 Pm 3.29, 3 Sm 3.56
La: 0.3265 0.3265 0.3265  15 Sm 4.03-4.37, 1 Pm 4.21
La: 0.6735 0.6735 0.6735  15 Sm 4.03-4.37, 1 Pm 4.21

***

# 8
Computed, not measured: a relaxed La12Pm2Sm5 crystal at the GGA-PBE level of DFT.

Computed properties:
Its density of states at the Fermi level is 29.873 states/eV/cell. For the total magnetization, the calculation gives 0.00 Bohr magnetons per cell. The relative energy among the computed polymorphs is 0 kJ/mol of formula units. The value obtained for the formation enthalpy at 0 K is 170 kJ/mol of formula units. The crystal system is monoclinic.

Cell lengths 11.9128, 8.9528, 9.6150 Å; angles 70.48, 90.00, 131.71 degrees
Last column: nearest neighbours and their distance in Å.
Sites, in units of the cell vectors:
La: 0.4668 0.4211 0.1894  3 La 3.31-3.49, 2 Sm 3.41-3.68, 1 Pm 3.49
La: 0.0456 0.5789 0.8106  3 La 3.31-3.49, 2 Sm 3.41-3.68, 1 Pm 3.49
La: 0.1044 0.2087 0.0713  6 La 3.62-4.03, 4 Sm 3.66-3.87, 2 Pm 3.82
La: 0.6319 0.7907 0.4071  5 La 3.49-3.89, 1 Pm 3.53, 4 Sm 3.58-3.76
La: 0.8956 0.7913 0.9287  6 La 3.62-4.03, 4 Sm 3.66-3.87, 2 Pm 3.82
La: 0.3681 0.2093 0.5929  5 La 3.49-3.89, 1 Pm 3.53, 4 Sm 3.58-3.76
La: 0.4332 0.8663 0.7742  4 La 3.41-3.56, 2 Sm 3.45-3.69, 2 Pm 3.74
La: 0.9544 0.4211 0.1894  3 La 3.31-3.49, 2 Sm 3.41-3.68, 1 Pm 3.49
La: 0.5332 0.5789 0.8106  3 La 3.31-3.49, 2 Sm 3.41-3.68, 1 Pm 3.49
La: 0.1588 0.7907 0.4071  5 La 3.49-3.89, 1 Pm 3.53, 4 Sm 3.58-3.76
La: 0.8412 0.2093 0.5929  5 La 3.49-3.89, 1 Pm 3.53, 4 Sm 3.58-3.76
La: 0.5668 0.1337 0.2258  4 La 3.41-3.56, 2 Sm 3.45-3.69, 2 Pm 3.74
Sm: 0.7881 0.5762 0.3556  9 La 3.58-3.87, 2 Sm 3.60-3.67
Sm: 0.0000 0.0000 0.5000  4 Sm 3.67-3.75, 6 La 3.70-3.71
Sm: 0.3075 0.6150 0.2299  6 La 3.41-3.74, 2 Sm 3.60-3.75, 2 Pm 3.62
Sm: 0.2119 0.4238 0.6444  9 La 3.58-3.87, 2 Sm 3.60-3.67
Sm: 0.6925 0.3850 0.7701  6 La 3.41-3.74, 2 Sm 3.60-3.75, 2 Pm 3.62
Pm: 0.2827 0.0000 0.0000  8 La 3.49-3.82, 2 Sm 3.62
Pm: 0.7173 0.0000 0.0000  8 La 3.49-3.82, 2 Sm 3.62

***

no.,volume (Å³/atom)
1,34.34
2,35.54
3,34.35
4,36.01
5,35.58
6,35.02
7,35.58
8,36.03